No. 1
Compound: Li4Ga2Si
Source: the Alexandria database
Functional: PBE-GGA
Structure: optimized geometry

energy relative to the elements, uncorrected: 0.07 eV per atom
space-group type: I4/mmm (139)

Cell: 4.695 4.695 7.422 Å, 71.56 71.56 90.00°
Fractional coordinates of all 7 atoms:
Si 0.000 0.000 0.000
Ga 0.394 0.394 0.212
Ga 0.606 0.606 0.788
Li 0.192 0.192 0.617
Li 0.808 0.808 0.383
Li 0.000 0.500 0.000
Li 0.500 0.000 0.000

***

No. 2
Compound: LiGa3Si
Source: the Alexandria database
Functional: PBE-GGA
Structure: optimized geometry

energy above the lowest structure with this stoichiometry: 0.1887 eV per atom
energy relative to the elements, uncorrected: 0.50 eV per atom
space-group type: Pm-3m (221)

Cell: 4.582 4.582 4.582 Å, 90.00 90.00 90.00°
Fractional coordinates of all 5 atoms:
Si 0.500 0.500 0.500
Ga 0.000 0.500 0.000
Ga 0.000 0.000 0.500
Ga 0.500 0.000 0.000
Li 0.000 0.000 0.000

***

No. 3
Compound: Li8GaSi2
Source: the Alexandria database
Functional: PBE-GGA
Structure: optimized geometry

energy relative to the elements, uncorrected: -0.17 eV per atom
space-group type: C2/m (12)

Cell: 4.344 6.839 6.958 Å, 117.70 108.19 90.00°
Fractional coordinates of all 11 atoms:
Li 0.381 0.551 0.762
Li 0.674 0.892 0.348
Li 0.846 0.783 0.692
Li 0.973 0.282 0.946
Li 0.154 0.217 0.308
Li 0.326 0.108 0.652
Li 0.619 0.449 0.238
Li 0.027 0.718 0.054
Ga 0.500 0.000 0.000
Si 0.787 0.330 0.574
Si 0.213 0.670 0.426

***

No. 4
Compound: Li2SmGa2Si2
Source: the Alexandria database
Functional: PBE-GGA
Structure: optimized geometry

energy relative to the elements, uncorrected: -0.37 eV per atom
space-group type: R-3m (166)

Cell: 4.256 4.256 8.216 Å, 74.99 74.99 60.00°
Fractional coordinates of all 7 atoms:
Li 0.143 0.143 0.570
Li 0.857 0.857 0.430
Sm 0.000 0.000 0.000
Ga 0.561 0.561 0.316
Ga 0.439 0.439 0.684
Si 0.744 0.744 0.769
Si 0.256 0.256 0.231

***

No. 5
Compound: Sr2LiGaSi2
Source: the Alexandria database
Functional: PBE-GGA
Structure: optimized geometry

energy relative to the elements, uncorrected: -0.41 eV per atom
space-group type: Ibam (72)

Cell: 6.278 6.354 8.465 Å, 112.04 111.76 90.00°
Fractional coordinates of all 12 atoms:
Sr 0.406 0.162 0.323
Sr 0.594 0.838 0.677
Sr 0.083 0.338 0.677
Sr 0.917 0.662 0.323
Li 0.000 0.750 0.000
Li 0.000 0.250 0.000
Ga 0.500 0.750 0.000
Ga 0.500 0.250 0.000
Si 0.840 0.103 0.207
Si 0.367 0.603 0.207
Si 0.633 0.397 0.793
Si 0.160 0.897 0.793

***

No. 6
Compound: LiGaSiTc
Source: the Alexandria database
Functional: PBE-GGA
Structure: optimized geometry

energy relative to the elements, uncorrected: -0.15 eV per atom
space-group type: F-43m (216)

Cell: 4.257 4.257 4.257 Å, 60.00 60.00 60.00°
Fractional coordinates of all 4 atoms:
Si 0.750 0.750 0.750
Tc 0.500 0.500 0.500
Ga 0.250 0.250 0.250
Li 0.000 0.000 0.000

***

No. 7
Compound: Li2GaSiTe
Source: the Alexandria database
Functional: PBE-GGA
Structure: optimized geometry

energy relative to the elements, uncorrected: 0.15 eV per atom
space-group type: P4/mmm (123)

Cell: 4.861 5.393 4.861 Å, 90.00 90.00 90.00°
Fractional coordinates of all 5 atoms:
Si 0.000 0.000 0.000
Te 0.000 0.500 0.000
Ga 0.500 0.500 0.500
Li 0.000 0.000 0.500
Li 0.500 0.000 0.000

***

No. 8
Compound: LiTmGaSi
Source: the Alexandria database
Functional: PBE-GGA
Structure: optimized geometry

energy relative to the elements, uncorrected: -0.33 eV per atom
space-group type: F-43m (216)

Cell: 4.739 4.739 4.739 Å, 60.00 60.00 60.00°
Fractional coordinates of all 4 atoms:
Si 0.750 0.750 0.750
Tm 0.000 0.000 0.000
Ga 0.250 0.250 0.250
Li 0.500 0.500 0.500

***

No. 9
Compound: LiVGaSi2
Source: the Alexandria database
Functional: PBE-GGA
Structure: optimized geometry

energy relative to the elements, uncorrected: 0.55 eV per atom
space-group type: P4/mmm (123)

Cell: 4.647 4.963 4.647 Å, 90.00 90.00 90.00°
Site moments in Bohr magnetons follow the coordinates.
Fractional coordinates of all 5 atoms:
Si 0.000 0.000 0.500  -0.01
Si 0.500 0.000 0.000  -0.05
Li 0.000 0.500 0.000  0.09
Ga 0.500 0.500 0.500  -0.01
V 0.000 0.000 0.000  1.59

***

No. 10
Compound: Li2YGa2Si2
Source: the Alexandria database
Functional: PBE-GGA
Structure: optimized geometry

energy relative to the elements, uncorrected: -0.35 eV per atom
space-group type: R-3m (166)

Cell: 4.244 4.244 8.113 Å, 74.84 74.84 60.00°
Fractional coordinates of all 7 atoms:
Li 0.143 0.143 0.571
Li 0.857 0.857 0.429
Y 0.000 0.000 0.000
Ga 0.562 0.562 0.314
Ga 0.438 0.438 0.686
Si 0.742 0.742 0.773
Si 0.258 0.258 0.227

***

No. 11
Compound: LiZnGaSi
Source: the Alexandria database
Functional: PBE-GGA
Structure: optimized geometry

energy relative to the elements, uncorrected: 0.02 eV per atom
space-group type: F-43m (216)

Cell: 4.485 4.485 4.485 Å, 60.00 60.00 60.00°
Fractional coordinates of all 4 atoms:
Zn 0.500 0.500 0.500
Si 0.250 0.250 0.250
Ga 0.000 0.000 0.000
Li 0.750 0.750 0.750

***

No. 12
Compound: Li4Sm5Ga4
Source: the Alexandria database
Functional: PBE-GGA
Structure: optimized geometry

DFT formation energy: -352 meV/atom
space-group type: I4/m (87)

Cell: 4.485 8.550 8.550 Å, 86.06 74.79 74.79°
Fractional coordinates of all 13 atoms:
Li 0.899 0.530 0.672
Li 0.571 0.328 0.530
Li 0.101 0.470 0.328
Li 0.429 0.672 0.470
Sm 0.710 0.919 0.661
Sm 0.290 0.081 0.339
Sm 0.000 0.000 0.000
Sm 0.629 0.661 0.081
Sm 0.371 0.339 0.919
Ga 0.745 0.312 0.199
Ga 0.255 0.688 0.801
Ga 0.943 0.801 0.312
Ga 0.057 0.199 0.688

***

Please write out number 1 again, unchanged.
Compound: Li4Ga2Si
Source: the Alexandria database
Functional: PBE-GGA
Structure: optimized geometry

energy relative to the elements, uncorrected: 0.07 eV per atom
space-group type: I4/mmm (139)

Cell: 4.695 4.695 7.422 Å, 71.56 71.56 90.00°
Fractional coordinates of all 7 atoms:
Si 0.000 0.000 0.000
Ga 0.394 0.394 0.212
Ga 0.606 0.606 0.788
Li 0.192 0.192 0.617
Li 0.808 0.808 0.383
Li 0.000 0.500 0.000
Li 0.500 0.000 0.000